(1)
Computed, not measured: a relaxed Tm8Bi5Pb crystal at the PBE level of DFT.

Raw total energy = -4.8157 eV per atom
Crystal system = tetragonal

a = 9.293 Å, b = 9.293 Å, c = 9.288 Å
α = 90.00°, β = 90.00°, γ = 90.00°
Space group I-4 (No. 82)
Symmetry-distinct sites (fractional):
Tm: 0.073 0.326 0.048 (multiplicity 8)
Tm: 0.074 0.178 0.699 (multiplicity 8)
Bi: 0.000 0.000 0.000 (multiplicity 2)
Bi: 0.124 0.250 0.373 (multiplicity 8)
Pb: 0.000 0.500 0.750 (multiplicity 2)


(2)
Computed, not measured: a relaxed PuScAl2O8 crystal at the PBE level of DFT.

ΔE_f (raw) = -2.588 eV per atom
Crystal system = tetragonal

a = 6.667 Å, b = 6.667 Å, c = 6.425 Å
α = 90.00°, β = 90.00°, γ = 90.00°
Space group I-4m2 (No. 119)
Symmetry-distinct sites (fractional):
Pu: 0.000 0.000 0.000 (multiplicity 2)
Sc: 0.000 0.500 0.250 (multiplicity 2)
Al: 0.000 0.000 0.500 (multiplicity 2)
Al: 0.000 0.500 0.750 (multiplicity 2)
O: 0.000 0.190 0.310 (multiplicity 8)
O: 0.000 0.306 0.937 (multiplicity 8)


(3)
Computed, not measured: a relaxed KNi2Se crystal at the PBE level of DFT.

ΔE_f (raw) = 0.568 eV per atom
Crystal system = tetragonal

a = 4.252 Å, b = 4.252 Å, c = 3.855 Å
α = 90.00°, β = 90.00°, γ = 90.00°
Space group P4/mmm (No. 123)
Symmetry-distinct sites (fractional):
K: 0.000 0.000 0.000 (multiplicity 1)
Ni: 0.000 0.500 0.500 (multiplicity 2)
Se: 0.500 0.500 0.000 (multiplicity 1)